The following is a PBE calculation of a relaxed structure of TePSe2, from the Alexandria database.

```
TePSe2
1.0
3.6865 0.0000 0.0000
0.0000 8.5561 0.0000
0.0000 0.0000 9.3135
Te P Se
2 2 4
direct
0.0000 0.0000 0.0000 Te
0.5000 0.5000 0.0000 Te
0.0000 0.5000 0.2366 P
0.5000 0.0000 0.2366 P
0.0000 0.0000 0.3860 Se
0.0000 0.5000 0.8054 Se
0.5000 0.0000 0.8054 Se
0.5000 0.5000 0.3860 Se
```

## Properties
As for the total energy: -0.1317 hartree per atom. The formation energy (no corrections) comes out at 297 meV per atom. As for the total magnetic moment: 0.00 μB/cell. Its space-group type is Cmm2. As for the offset from the most stable computed form: 144 meV/atom.


The following is a PBE calculation of a relaxed structure of TeP2Se, from the Alexandria database.

```
TeP2Se
1.0
3.3207 0.0000 0.0000
0.0000 3.5353 0.0000
0.0000 0.0000 8.0336
Te P Se
1 2 1
direct
0.0000 0.0000 0.0000 Te
0.0000 0.0000 0.6916 P
0.5000 0.5000 0.6426 P
0.5000 0.5000 0.3702 Se
```

## Properties
As for the total energy: -0.1552 hartree per atom. The formation energy (no corrections) comes out at 139 meV per atom. As for the total magnetic moment: 0.00 μB/cell. Its space-group type is Pmm2. As for the offset from the most stable computed form: 3 meV/atom.


The following is a PBE calculation of a relaxed structure of Te2PSe, from the Alexandria database.

```
Te2PSe
1.0
4.4513 0.0000 0.0000
0.0000 3.8148 0.0000
-1.2759 0.0000 7.2563
Te P Se
2 1 1
direct
0.2199 0.0000 0.2376 Te
0.7801 0.0000 0.7624 Te
0.0000 0.5000 0.0000 P
0.5000 0.5000 0.5000 Se
```

## Properties
As for the total energy: -0.1272 hartree per atom. The formation energy (no corrections) comes out at 333 meV per atom. As for the total magnetic moment: 0.00 μB/cell. Its space-group type is P2/m. As for the offset from the most stable computed form: 160 meV/atom.


The following is a PBE calculation of a relaxed structure of Te2PSe, from the Alexandria database.

```
Te2PSe
1.0
7.1364 0.0000 0.0000
0.0000 7.1364 0.0000
0.0000 0.0000 7.1364
Te P Se
8 4 4
direct
0.2500 0.2500 0.2500 Te
0.2500 0.2500 0.7500 Te
0.2500 0.7500 0.2500 Te
0.2500 0.7500 0.7500 Te
0.7500 0.2500 0.2500 Te
0.7500 0.2500 0.7500 Te
0.7500 0.7500 0.2500 Te
0.7500 0.7500 0.7500 Te
0.0000 0.0000 0.0000 P
0.0000 0.5000 0.5000 P
0.5000 0.0000 0.5000 P
0.5000 0.5000 0.0000 P
0.0000 0.0000 0.5000 Se
0.0000 0.5000 0.0000 Se
0.5000 0.0000 0.0000 Se
0.5000 0.5000 0.5000 Se
```

## Properties
As for the total energy: -0.1194 hartree per atom. The formation energy (no corrections) comes out at 545 meV per atom. As for the total magnetic moment: 0.00 μB/cell. Its space-group type is Fm-3m. As for the offset from the most stable computed form: 371 meV/atom.


The following is a PBE calculation of a relaxed structure of Te2PSe, from the Alexandria database.

```
Te2PSe
1.0
3.8125 0.0000 0.0000
0.0000 7.9235 0.0000
0.0000 0.0000 8.6600
Te P Se
4 2 2
direct
0.0000 0.2340 0.0000 Te
0.0000 0.7660 0.0000 Te
0.5000 0.2660 0.5000 Te
0.5000 0.7340 0.5000 Te
0.0000 0.5000 0.5000 P
0.5000 0.0000 0.0000 P
0.0000 0.0000 0.5000 Se
0.5000 0.5000 0.0000 Se
```

## Properties
As for the total energy: -0.1271 hartree per atom. The formation energy (no corrections) comes out at 336 meV per atom. As for the total magnetic moment: 0.00 μB/cell. Its space-group type is Immm. As for the offset from the most stable computed form: 163 meV/atom.


The following is a PBE calculation of a relaxed structure of TeP2Se, from the Alexandria database.

```
TeP2Se
1.0
6.7670 0.0000 0.0000
0.0000 6.7670 0.0000
0.0000 0.0000 6.7670
Te P Se
4 8 4
direct
0.0000 0.0000 0.0000 Te
0.0000 0.5000 0.5000 Te
0.5000 0.0000 0.5000 Te
0.5000 0.5000 0.0000 Te
0.2500 0.2500 0.2500 P
0.2500 0.2500 0.7500 P
0.2500 0.7500 0.2500 P
0.2500 0.7500 0.7500 P
0.7500 0.2500 0.2500 P
0.7500 0.2500 0.7500 P
0.7500 0.7500 0.2500 P
0.7500 0.7500 0.7500 P
0.0000 0.0000 0.5000 Se
0.0000 0.5000 0.0000 Se
0.5000 0.0000 0.0000 Se
0.5000 0.5000 0.5000 Se
```

## Properties
As for the total energy: -0.1345 hartree per atom. The formation energy (no corrections) comes out at 700 meV per atom. As for the total magnetic moment: 0.00 μB/cell. Its space-group type is Fm-3m. As for the offset from the most stable computed form: 564 meV/atom.


The following is a PBE calculation of a relaxed structure of Te2PSe, from the Alexandria database.

```
Te2PSe
1.0
7.3919 0.0000 0.0000
0.0000 7.3919 0.0000
0.0000 0.0000 8.3411
Te P Se
8 4 4
direct
0.2251 0.2500 0.1250 Te
0.2500 0.7251 0.3750 Te
0.2500 0.7749 0.8750 Te
0.2749 0.2500 0.6250 Te
0.7251 0.7500 0.6250 Te
0.7500 0.2251 0.8750 Te
0.7500 0.2749 0.3750 Te
0.7749 0.7500 0.1250 Te
0.0000 0.0000 0.0000 P
0.0000 0.5000 0.2500 P
0.5000 0.0000 0.7500 P
0.5000 0.5000 0.5000 P
0.0000 0.0000 0.5000 Se
0.0000 0.5000 0.7500 Se
0.5000 0.0000 0.2500 Se
0.5000 0.5000 0.0000 Se
```

## Properties
As for the total energy: -0.1281 hartree per atom. The formation energy (no corrections) comes out at 310 meV per atom. As for the total magnetic moment: 0.00 μB/cell. Its space-group type is I-42d. As for the offset from the most stable computed form: 136 meV/atom.


The following is a PBE calculation of a relaxed structure of TePSe, from the Alexandria database.

```
TePSe
1.0
5.2688 0.0000 0.0000
0.0000 3.2515 0.0000
-2.6147 0.0000 5.8139
Te P Se
1 1 1
direct
0.0000 0.0000 0.0000 Te
0.5733 0.0000 0.1449 P
0.7113 0.5000 0.4232 Se
```

## Properties
As for the total energy: -0.1433 hartree per atom. The formation energy (no corrections) comes out at 113 meV per atom. As for the total magnetic moment: 0.00 μB/cell. Its space-group type is Pm. As for the offset from the most stable computed form: 52 meV/atom.